First-principles (GGA-PBE) data for a geometry-optimized BaReOs2 structure, as listed in the Alexandria database.

```
4
Lattice="-1.436 2.632 5.211 1.436 -2.632 5.211 1.436 2.632 -5.211" Properties=species:S:1:pos:R:3 pbc="T T T"
Ba 0.000 0.000 0.000
Re 0.000 2.632 2.197
Os 1.436 0.000 3.005
Os 0.000 0.000 5.220
```

Results
ΔE_f: 1231 meV per atom
ρ: 14.8 g/cm³
energy above the most stable polymorph in this dataset: 488 meV per atom
calculated total energy: -7.98 eV/atom